No. 1
DFT (PBE) results for Ce3Ir after structural relaxation.

Unit cell a=6.0510 b=6.0510 c=6.0510 alpha=145.99 beta=65.88 gamma=125.43
With the nearest neighbours (Å) after each atom.
Element x y z (fractional)
Ce (0.0000, 0.0000, 0.0000)  2 Ir 2.83, 2 Ce 3.06
Ce (0.2151, 0.4138, 0.8013)  2 Ir 2.88, 1 Ce 3.06
Ce (0.6125, 0.4138, 0.1987)  2 Ir 2.88, 1 Ce 3.06
Ir (0.6010, 0.1010, 0.5000)  6 Ce 2.83-2.88

## Properties
energy of formation from the pure elements: -0.324 eV/atom
SG: No. 44
final energy: -28.0 eV for the cell shown

***

No. 2
DFT (PBE) results for Hf2Bi2Pb after structural relaxation.

Unit cell a=8.5929 b=8.5929 c=3.6966 alpha=90.00 beta=90.00 gamma=90.00
With the nearest neighbours (Å) after each atom.
Element x y z (fractional)
Hf (0.1291, 0.3709, 0.0000)  6 Bi 3.08-3.19, 1 Hf 3.14
Hf (0.3709, 0.8709, 0.0000)  6 Bi 3.08-3.19, 1 Hf 3.14
Hf (0.6291, 0.1291, 0.0000)  6 Bi 3.08-3.19, 1 Hf 3.14
Hf (0.8709, 0.6291, 0.0000)  6 Bi 3.08-3.19, 1 Hf 3.14
Bi (0.1569, 0.6569, 0.5000)  6 Hf 3.08-3.19, 2 Pb 3.24
Bi (0.3431, 0.1569, 0.5000)  6 Hf 3.08-3.19, 2 Pb 3.24
Bi (0.6569, 0.8431, 0.5000)  6 Hf 3.08-3.19, 2 Pb 3.24
Bi (0.8431, 0.3431, 0.5000)  6 Hf 3.08-3.19, 2 Pb 3.24
Pb (0.0000, 0.0000, 0.5000)  4 Bi 3.24
Pb (0.5000, 0.5000, 0.5000)  4 Bi 3.24

## Properties
energy of formation from the pure elements: 0.157 eV/atom
SG: No. 127
final energy: -61.2 eV for the cell shown
offset from the most stable computed form: 0.92 eV per formula unit

***

No. 3
DFT (PBE) results for AcZrTe2 after structural relaxation.

Unit cell a=7.6554 b=7.6554 c=7.6554 alpha=33.72 beta=33.72 gamma=33.72
With the nearest neighbours (Å) after each atom.
Element x y z (fractional)
Ac (0.0000, 0.0000, 0.0000)  6 Te 3.30
Zr (0.5000, 0.5000, 0.5000)  6 Te 2.99
Te (0.2376, 0.2376, 0.2376)  3 Zr 2.99, 3 Ac 3.30
Te (0.7624, 0.7624, 0.7624)  3 Zr 2.99, 3 Ac 3.30

## Properties
SG: No. 166
final energy: -22.9 eV for the cell shown
offset from the most stable computed form: 0.00 eV per formula unit
energy relative to the elements, uncorrected: -0.9858 eV per atom